Here is an optimized crystal structure of Sm8Y3Sc2 from Alexandria via LeMat-Bulk. Energies are from PBE.

abc: 10.5750 10.5750 5.6640
angles: 90.02 90.02 43.00
Closest atoms and distances in Å follow each position.
Fractional coordinates of all 13 atoms:
Sm: 0.0943 0.6829 0.9999  1 Y 3.16, 3 Sm 3.19-3.51, 2 Sc 3.33-3.41
Sm: 0.1778 0.1778 0.5007  2 Sc 3.26, 4 Sm 3.50-3.51
Sm: 0.3171 0.9057 0.0001  1 Y 3.16, 3 Sm 3.19-3.51, 2 Sc 3.33-3.41
Sm: 0.3656 0.3656 0.5005  2 Y 3.46, 2 Sc 3.51-3.52, 5 Sm 3.66-3.70
Sm: 0.6344 0.6344 0.4995  2 Y 3.46, 2 Sc 3.51-3.52, 5 Sm 3.66-3.70
Sm: 0.6829 0.0943 0.9999  1 Y 3.16, 3 Sm 3.19-3.51, 2 Sc 3.33-3.41
Sm: 0.8222 0.8222 0.4993  2 Sc 3.26, 4 Sm 3.50-3.51
Sm: 0.9057 0.3171 0.0001  1 Y 3.16, 3 Sm 3.19-3.51, 2 Sc 3.33-3.41
Y: 0.2128 0.7872 0.5000  3 Y 3.30-3.60, 6 Sm 3.46-3.58
Y: 0.5000 0.5000 0.0000  4 Sm 3.16
Y: 0.7872 0.2128 0.5000  3 Y 3.30-3.60, 6 Sm 3.46-3.58
Sc: 0.2600 0.2600 0.0010  8 Sm 3.26-3.52
Sc: 0.7400 0.7400 0.9990  8 Sm 3.26-3.52

Results
**Energy relative to the elements**: 220 meV/atom
**DOS(E_F)**: 17.91 states/eV/f.u.
**VASP energy**: -5.15 eV per atom